Computed, not measured: crystalline LaSm2Pt at its relaxed geometry at the PBE level of DFT.

```
data_LaSm2Pt
_chemical_formula_sum 'La1 Sm2 Pt1'
_symmetry_space_group_name_H-M 'P 4/m m m'
_symmetry_Int_Tables_number 123
_symmetry_space_group_name_Hall '-P 4 2'
_cell_length_a 3.6347
_cell_length_b 3.6347
_cell_length_c 8.9667
_cell_angle_alpha 90.00
_cell_angle_beta 90.00
_cell_angle_gamma 90.00
loop_
_atom_site_label
_atom_site_fract_x
_atom_site_fract_y
_atom_site_fract_z
La1 0.0000 0.0000 0.0000
Sm1 0.5000 0.5000 0.3144
Pt1 0.0000 0.0000 0.5000
```

DFT formation energy = -535 meV per atom
raw total energy = -5.637 eV/atom
offset from the most stable computed form = 0.469 eV/f.u.